AlCr3O6 | PBE+U | optimized geometry

Cell lengths 5.898, 5.898, 14.479 Å; angles 90.00, 90.00, 120.00 degrees
Fractional positions:
Cr (0.340, 0.170, 0.333)
O (0.831, 0.169, 0.085)
O (0.333, 0.667, 0.064)
Cr (0.667, 0.333, 0.172)
O (0.963, 0.482, 0.259)
O (0.838, 0.676, 0.582)
O (0.000, 0.000, 0.744)
O (0.667, 0.333, 0.936)
O (0.518, 0.037, 0.259)
Cr (0.830, 0.170, 0.333)
O (0.676, 0.838, 0.418)
O (0.831, 0.663, 0.085)
O (0.169, 0.831, 0.915)
Cr (0.000, 0.000, 0.500)
O (0.037, 0.518, 0.741)
Cr (0.500, 0.500, 0.000)
O (0.162, 0.838, 0.418)
Al (0.667, 0.333, 0.545)
O (0.162, 0.324, 0.418)
Cr (0.170, 0.830, 0.667)
O (0.482, 0.518, 0.741)
O (0.337, 0.169, 0.085)
Cr (0.660, 0.830, 0.667)
O (0.482, 0.963, 0.741)
Al (0.000, 0.000, 0.128)
Cr (0.170, 0.340, 0.667)
Cr (0.333, 0.667, 0.828)
O (0.324, 0.162, 0.582)
O (0.000, 0.000, 0.256)
Cr (0.000, 0.500, 0.000)
O (0.518, 0.482, 0.259)
Cr (0.830, 0.660, 0.333)
O (0.663, 0.831, 0.915)
O (0.333, 0.667, 0.581)
Al (0.000, 0.000, 0.872)
O (0.667, 0.333, 0.419)
O (0.838, 0.162, 0.582)
Cr (0.500, 0.000, 0.000)
Al (0.333, 0.667, 0.455)
O (0.169, 0.337, 0.915)

SG ... P-3m1 (164)
V ... 10.90 A^3/atom
Density ... 4.25 g cm⁻³
Total energy ... -7.754 eV/atom